A plane-wave DFT calculation with GGA+U was carried out for a relaxed structure of CaMnO2.

The total magnetic moment comes out at 1.25 μB per atom. For the density of states at the Fermi level, the calculation gives 0.0 states/eV per cell. The value obtained for the volume is 152.32 Å³/cell. Its final energy is -7.1236 eV/atom.

It has space group R-3m (No. 166, hexagonal axes), with a = 3.3168 Å, b = 3.3168 Å, c = 15.9870 Å, α = 90.00°, β = 90.00° and γ = 120.00°. The inequivalent atoms are Ca at (0.0000, 0.0000, 0.0000), Mn at (0.0000, 0.0000, 0.5000) and O at (0.0000, 0.0000, 0.2459).